Record 1
# SrPPbS2

An optimized crystal structure of SrPPbS2 (GGA-PBE, the Alexandria database).

Raw formation energy (meV per atom): -163
Distance to the lowest polymorph of the same formula (meV/atom): 0
ρ (g/cm3): 4.5
Magnetic moment (μB per formula unit): 0.30

a b c (Å): 5.2873 5.2873 5.1101
angles (deg): 90.00 90.00 90.00
Space group P4/mmm (No. 123)
Symmetry-distinct sites (fractional):
Sr1 0.0000 0.0000 0.0000 (multiplicity 1)
P1 0.5000 0.5000 0.0000 (multiplicity 1)
Pb1 0.5000 0.5000 0.5000 (multiplicity 1)
S1 0.0000 0.5000 0.5000 (multiplicity 2)

---

Record 2
# LaTb2Dy2Tm

An optimized crystal structure of LaTb2Dy2Tm (GGA-PBE, the Alexandria database).

VASP energy (eV/f.u.): -26.89
ρ (g/cm3): 8.0
Magnetic moment (μB per formula unit): 0.00

a b c (Å): 6.9264 16.1690 3.5239
angles (deg): 90.00 90.00 90.00
Space group Pnnm (No. 58)
Symmetry-distinct sites (fractional):
La1 0.0000 0.0000 0.0000 (multiplicity 2)
Tb1 0.2483 0.3424 0.0000 (multiplicity 4)
Dy1 0.2491 0.6566 0.0000 (multiplicity 4)
Tm1 0.0000 0.5000 0.5000 (multiplicity 2)

---

Record 3
# Na2SrPr

An optimized crystal structure of Na2SrPr (GGA-PBE, the Alexandria database).

Distance to the lowest polymorph of the same formula (meV/atom): 0
ρ (g/cm3): 2.9
Magnetic moment (μB per formula unit): 0.10

a b c (Å): 6.3069 6.3069 3.9817
angles (deg): 90.00 90.00 90.00
Space group P4/mmm (No. 123)
Symmetry-distinct sites (fractional):
Na1 0.0000 0.5000 0.0000 (multiplicity 2)
Sr1 0.0000 0.0000 0.5000 (multiplicity 1)
Pr1 0.5000 0.5000 0.5000 (multiplicity 1)

---

Record 4
# ZnCoTe2

An optimized crystal structure of ZnCoTe2 (GGA-PBE, the Alexandria database).

Raw formation energy (meV per atom): -11
ρ (g/cm3): 6.6
Magnetic moment (μB per formula unit): 0.26

a b c (Å): 8.5987 3.7387 6.3526
angles (deg): 90.00 109.83 90.00
Space group Cm (No. 8)
Symmetry-distinct sites (fractional):
Zn1 0.0000 0.0000 0.0000 (multiplicity 2)
Co1 0.2800 0.0000 0.0096 (multiplicity 2)
Te1 0.1601 0.5000 0.7378 (multiplicity 2)
Te2 0.3321 0.5000 0.2930 (multiplicity 2)

---

Record 5
# LiZr

An optimized crystal structure of LiZr (GGA-PBE, the Alexandria database).

Distance to the lowest polymorph of the same formula (meV/atom): 74
ρ (g/cm3): 3.8
Magnetic moment (μB per formula unit): 0.00

a b c (Å): 10.3957 3.0571 8.8264
angles (deg): 90.00 113.00 90.00
Space group C2/m (No. 12)
Symmetry-distinct sites (fractional):
Li1 0.0000 0.0000 0.0000 (multiplicity 2)
Li2 0.1576 0.5000 0.8489 (multiplicity 4)
Zr1 0.0000 0.0000 0.5000 (multiplicity 2)
Zr2 0.1774 0.5000 0.3420 (multiplicity 4)

---

Record 6
# TbPrNd2

An optimized crystal structure of TbPrNd2 (GGA-PBE, the Alexandria database).

Distance to the lowest polymorph of the same formula (meV/atom): 3
ρ (g/cm3): 7.0
Magnetic moment (μB per formula unit): 0.00

a b c (Å): 3.6682 3.6682 35.7626
angles (deg): 90.00 90.00 120.00
Space group R3m (No. 160, hexagonal axes)
Symmetry-distinct sites (fractional):
Tb1 0.0000 0.0000 0.0000 (multiplicity 3)
Pr1 0.0000 0.0000 0.1671 (multiplicity 3)
Nd1 0.0000 0.0000 0.4152 (multiplicity 3)
Nd2 0.0000 0.0000 0.5853 (multiplicity 3)

---

Record 7
# CaGeSbW2

An optimized crystal structure of CaGeSbW2 (GGA-PBE, the Alexandria database).

Raw formation energy (meV per atom): 1098
ρ (g/cm3): 8.6
Magnetic moment (μB per formula unit): 0.00

a b c (Å): 4.7212 4.7212 5.2383
angles (deg): 90.00 90.00 90.00
Space group P4/mmm (No. 123)
Symmetry-distinct sites (fractional):
Ca1 0.0000 0.0000 0.0000 (multiplicity 1)
Ge1 0.0000 0.0000 0.5000 (multiplicity 1)
Sb1 0.5000 0.5000 0.0000 (multiplicity 1)
W1 0.0000 0.5000 0.5000 (multiplicity 2)

---

Record 8
# PmMoP2

An optimized crystal structure of PmMoP2 (GGA-PBE, the Alexandria database).

Distance to the lowest polymorph of the same formula (meV/atom): 326
ρ (g/cm3): 7.2
Magnetic moment (μB per formula unit): 0.00

a b c (Å): 6.5442 6.5442 6.5442
angles (deg): 90.00 90.00 90.00
Space group Fm-3m (No. 225)
Symmetry-distinct sites (fractional):
Pm1 0.0000 0.0000 0.0000 (multiplicity 4)
Mo1 0.0000 0.0000 0.5000 (multiplicity 4)
P1 0.2500 0.2500 0.2500 (multiplicity 8)

---

Record 9
# Pm6Y3Er2Mg

An optimized crystal structure of Pm6Y3Er2Mg (GGA-PBE, the Alexandria database).

VASP energy (eV/f.u.): -58.33
ρ (g/cm3): 6.4
Magnetic moment (μB per formula unit): 0.00

a b c (Å): 6.2200 10.7784 11.7494
angles (deg): 90.00 100.21 90.00
Space group C2/m (No. 12)
Symmetry-distinct sites (fractional):
Pm1 0.2484 0.0000 0.2478 (multiplicity 4)
Pm2 0.2480 0.3335 0.2467 (multiplicity 8)
Y1 0.0000 0.0000 0.5000 (multiplicity 2)
Y2 0.0000 0.3336 0.5000 (multiplicity 4)
Er1 0.0000 0.1665 0.0000 (multiplicity 4)
Mg1 0.0000 0.5000 0.0000 (multiplicity 2)

---

Record 10
# Sr2SnBr

An optimized crystal structure of Sr2SnBr (GGA-PBE, the Alexandria database).

Raw formation energy (meV per atom): -1138
Distance to the lowest polymorph of the same formula (meV/atom): 0
ρ (g/cm3): 4.3
Magnetic moment (μB per formula unit): 0.00

a b c (Å): 13.7782 6.6179 6.6630
angles (deg): 90.00 106.45 90.00
Space group C2/m (No. 12)
Symmetry-distinct sites (fractional):
Sr1 0.1275 0.0000 0.4340 (multiplicity 4)
Sr2 0.1448 0.5000 0.9163 (multiplicity 4)
Sn1 0.0966 0.0000 0.9237 (multiplicity 4)
Br1 0.1352 0.5000 0.4180 (multiplicity 4)

---

Record 11
# TlRu3

An optimized crystal structure of TlRu3 (GGA-PBE, the Alexandria database).

Distance to the lowest polymorph of the same formula (meV/atom): 210
ρ (g/cm3): 13.3
Magnetic moment (μB per formula unit): 0.00

a b c (Å): 5.5162 8.0531 2.8615
angles (deg): 90.00 90.00 90.00
Space group Cmmm (No. 65)
Symmetry-distinct sites (fractional):
Tl1 0.0000 0.0000 0.0000 (multiplicity 2)
Ru1 0.0000 0.5000 0.0000 (multiplicity 2)
Ru2 0.2500 0.2500 0.5000 (multiplicity 4)

---

Record 12
# CaLaTlZn

An optimized crystal structure of CaLaTlZn (GGA-PBE, the Alexandria database).

VASP energy (eV/f.u.): -12.11
ρ (g/cm3): 6.6
Magnetic moment (μB per formula unit): 0.00

a b c (Å): 7.6883 7.6883 7.6883
angles (deg): 90.00 90.00 90.00
Space group F-43m (No. 216)
Symmetry-distinct sites (fractional):
Ca1 0.0000 0.0000 0.0000 (multiplicity 4)
La1 0.0000 0.0000 0.5000 (multiplicity 4)
Tl1 0.2500 0.2500 0.2500 (multiplicity 4)
Zn1 0.2500 0.2500 0.7500 (multiplicity 4)

---

Record 13
# PuPaO6

An optimized crystal structure of PuPaO6 (GGA-PBE, the Alexandria database).

Raw formation energy (meV per atom): -2722
Distance to the lowest polymorph of the same formula (meV/atom): 83
ρ (g/cm3): 7.1
Magnetic moment (μB per formula unit): 1.00

a b c (Å): 5.2427 5.3995 5.4828
angles (deg): 78.88 61.54 87.93
Space group P-1 (No. 2)
Symmetry-distinct sites (fractional):
Pu1 0.0000 0.0000 0.0000 (multiplicity 1)
Pa1 0.0000 0.5000 0.5000 (multiplicity 1)
O1 0.0045 0.2566 0.2717 (multiplicity 2)
O2 0.2698 0.7936 0.0769 (multiplicity 2)
O3 0.2743 0.2330 0.6656 (multiplicity 2)

---

Record 14
# SrPmCuS3

An optimized crystal structure of SrPmCuS3 (GGA-PBE, the Alexandria database).

Raw formation energy (meV per atom): -1652
ρ (g/cm3): 4.6
Magnetic moment (μB per formula unit): 0.00

a b c (Å): 8.4373 3.9863 8.7157
angles (deg): 90.00 102.40 90.00
Space group P2_1/m (No. 11)
Symmetry-distinct sites (fractional):
Sr1 0.1799 0.2500 0.2310 (multiplicity 2)
Pm1 0.3308 0.7500 0.8255 (multiplicity 2)
Cu1 0.0850 0.2500 0.5873 (multiplicity 2)
S1 0.1051 0.2500 0.8605 (multiplicity 2)
S2 0.2057 0.7500 0.5040 (multiplicity 2)
S3 0.4297 0.7500 0.1640 (multiplicity 2)

---

Record 15
# Tl2Pb7Au2

An optimized crystal structure of Tl2Pb7Au2 (GGA-PBE, the Alexandria database).

VASP energy (eV/f.u.): -37.22
ρ (g/cm3): 11.5
Magnetic moment (μB per formula unit): 0.00

a b c (Å): 15.5035 11.5124 3.7333
angles (deg): 90.00 103.23 90.00
Space group C2/m (No. 12)
Symmetry-distinct sites (fractional):
Tl1 0.1040 0.0000 0.1012 (multiplicity 4)
Pb1 0.0000 0.5000 0.5000 (multiplicity 2)
Pb2 0.1515 0.2466 0.6453 (multiplicity 8)
Pb3 0.2001 0.5000 0.1989 (multiplicity 4)
Au1 0.0000 0.2770 0.0000 (multiplicity 4)